[1]
UPdRu2: optimized geometry, PBE-GGA.

Cell: 3.3482 3.3482 21.7662 Å, 90.00 90.00 120.00°
Space group R-3m (No. 166, hexagonal axes)
One atom of each set of equivalent atoms:
U1 0.0000 0.0000 0.0000 [3 per cell]
Pd1 0.0000 0.0000 0.5000 [3 per cell]
Ru1 0.0000 0.0000 0.2568 [6 per cell]

Electronic total energy, eV per atom: -8.771
Calculated formation energy, kJ/mol of formula units: -5.1

---

[2]
UZnTcSn: optimized geometry, PBE-GGA.

Cell: 6.7454 6.7454 6.7454 Å, 90.00 90.00 90.00°
Space group F-43m (No. 216)
One atom of each set of equivalent atoms:
U1 0.0000 0.0000 0.0000 [4 per cell]
Zn1 0.2500 0.2500 0.2500 [4 per cell]
Tc1 0.2500 0.2500 0.7500 [4 per cell]
Sn1 0.0000 0.0000 0.5000 [4 per cell]

Electronic total energy, eV per atom: -6.558
Calculated formation energy, kJ/mol of formula units: 67.5

---

[3]
BaCa2Ac2: optimized geometry, PBE-GGA.

Cell: 10.9980 10.9980 3.9922 Å, 90.00 90.00 90.00°
Space group P4/mbm (No. 127)
One atom of each set of equivalent atoms:
Ba1 0.0000 0.0000 0.0000 [2 per cell]
Ca1 0.1194 0.3806 0.0000 [4 per cell]
Ac1 0.1749 0.6749 0.5000 [4 per cell]

Electronic total energy, eV per atom: -2.671
Calculated formation energy, kJ/mol of formula units: 76.1

---

| no. | mass density (g cm⁻³) |
| --- | --- |
| 1 | 12.9 |
| 2 | 11.3 |
| 3 | 4.6 |